SbAsCl2 (PBE, optimized geometry); calculated density = 4901 kg/m³; volume = 90.67 Å³/cell; energy relative to the lowest polymorph listed for this composition = 780 meV/atom; energy relative to the elements, uncorrected = 0.3453 eV/atom; final energy = -2.77 eV/atom
1.0
3.812 0.000 0.000
0.000 3.812 0.000
0.000 0.000 6.239
Cl As Sb
2 1 1
direct
0.000 0.000 0.001
0.000 0.000 0.499
0.500 0.500 0.750
0.500 0.500 0.250